# CaPt3

Crystalline CaPt3 at its relaxed geometry (PBEsol, Alexandria).

Unit cell a=2.809 b=4.120 c=5.795 alpha=90.00 beta=90.00 gamma=90.00
Positions (direct):
Ca 0.000 0.000 0.000
Pt 0.000 0.000 0.500
Pt 0.500 0.500 0.272
Pt 0.500 0.500 0.728

space-group type	Pmmm (47)
final energy	-6.11	eV per atom

# Li4Ti3V5O16

Crystalline Li4Ti3V5O16 at its relaxed geometry (PBEsol, Alexandria).

Unit cell a=5.775 b=5.775 c=9.475 alpha=90.35 beta=90.35 gamma=60.09
Positions (direct):
Li 0.000 0.000 0.000
Li 0.003 0.003 0.505
Li 0.342 0.342 0.401
Li 0.677 0.677 0.901
Ti 0.176 0.176 0.726
Ti 0.348 0.842 0.224
Ti 0.842 0.348 0.224
V 0.188 0.658 0.717
V 0.344 0.344 0.994
V 0.658 0.188 0.717
V 0.677 0.677 0.498
V 0.836 0.836 0.216
O 0.003 0.003 0.814
O 0.006 0.006 0.319
O 0.048 0.487 0.848
O 0.167 0.668 0.108
O 0.170 0.170 0.107
O 0.335 0.335 0.603
O 0.343 0.834 0.607
O 0.487 0.048 0.848
O 0.490 0.490 0.848
O 0.527 0.527 0.347
O 0.527 0.969 0.349
O 0.668 0.167 0.108
O 0.668 0.668 0.106
O 0.834 0.343 0.607
O 0.838 0.838 0.611
O 0.969 0.527 0.349

space-group type	Cm (8)
energy relative to the elements, uncorrected	-2.530	eV per atom

# SmBS3

Crystalline SmBS3 at its relaxed geometry (PBEsol, Alexandria).

Unit cell a=7.350 b=5.909 c=8.744 alpha=90.00 beta=90.00 gamma=90.00
Positions (direct):
Sm 0.116 0.068 0.000
Sm 0.384 0.568 0.500
Sm 0.616 0.432 0.000
Sm 0.884 0.932 0.500
B 0.145 0.600 0.830
B 0.355 0.100 0.330
B 0.645 0.900 0.830
B 0.855 0.400 0.330
S 0.005 0.395 0.493
S 0.176 0.841 0.703
S 0.201 0.863 0.299
S 0.299 0.363 0.799
S 0.324 0.341 0.203
S 0.495 0.895 0.993
S 0.505 0.105 0.493
S 0.676 0.659 0.703
S 0.701 0.637 0.299
S 0.799 0.137 0.799
S 0.824 0.159 0.203
S 0.995 0.605 0.993

space-group type	Pna2_1 (33)
energy relative to the elements, uncorrected	-1.277	eV per atom

# Nb3Si2

Crystalline Nb3Si2 at its relaxed geometry (PBEsol, Alexandria).

Unit cell a=6.714 b=6.714 c=3.480 alpha=90.00 beta=90.00 gamma=90.00
Positions (direct):
Nb 0.000 0.000 0.000
Nb 0.171 0.329 0.500
Nb 0.329 0.829 0.500
Nb 0.500 0.500 0.000
Nb 0.671 0.171 0.500
Nb 0.829 0.671 0.500
Si 0.128 0.628 0.000
Si 0.372 0.128 0.000
Si 0.628 0.872 0.000
Si 0.872 0.372 0.000

space-group type	P4/mbm (127)
energy relative to the elements, uncorrected	-0.705	eV per atom

# K2CuRu

Crystalline K2CuRu at its relaxed geometry (PBEsol, Alexandria).

Unit cell a=3.331 b=3.331 c=9.856 alpha=90.00 beta=90.00 gamma=90.00
Positions (direct):
K 0.000 0.000 0.000
K 0.500 0.500 0.442
Cu 0.500 0.500 0.761
Ru 0.000 0.000 0.690

space-group type	P4mm (99)
offset from the most stable computed form	0.0	meV/atom

# Sc2Ir

Crystalline Sc2Ir at its relaxed geometry (PBEsol, Alexandria).

Unit cell a=8.595 b=8.595 c=8.595 alpha=60.00 beta=60.00 gamma=60.00
Positions (direct):
Sc 0.000 0.000 0.000
Sc 0.000 0.000 0.500
Sc 0.000 0.500 0.000
Sc 0.187 0.187 0.563
Sc 0.187 0.563 0.187
Sc 0.187 0.563 0.563
Sc 0.437 0.437 0.813
Sc 0.437 0.813 0.437
Sc 0.437 0.813 0.813
Sc 0.500 0.000 0.000
Sc 0.563 0.187 0.187
Sc 0.563 0.187 0.563
Sc 0.563 0.563 0.187
Sc 0.813 0.437 0.437
Sc 0.813 0.437 0.813
Sc 0.813 0.813 0.437
Ir 0.145 0.785 0.785
Ir 0.215 0.215 0.215
Ir 0.215 0.215 0.855
Ir 0.215 0.855 0.215
Ir 0.785 0.145 0.785
Ir 0.785 0.785 0.145
Ir 0.785 0.785 0.785
Ir 0.855 0.215 0.215

space-group type	Fd-3m (227)
final energy	-8.42	eV per atom